No. 1
DFT (PBE) results for a geometry-optimized NdSbAu structure.

Geometry as CIF:
```
data_NdSbAu
_cell_length_a 4.6621
_cell_length_b 4.6621
_cell_length_c 16.6966
_cell_angle_alpha 90.00
_cell_angle_beta 90.00
_cell_angle_gamma 120.00
_space_group_name_H-M_alt 'P 1'
_space_group_IT_number 1
loop_
_space_group_symop_operation_xyz
'x,y,z'
loop_
_atom_site_label
_atom_site_fract_x
_atom_site_fract_y
_atom_site_fract_z
_atom_site_occupancy
Sb1 0.3333 0.6667 0.1101 1
Sb2 0.6667 0.3333 0.6101 1
Sb3 0.3333 0.6667 0.3899 1
Nd1 0.0000 0.0000 0.2500 1
Nd2 0.0000 0.0000 0.0000 1
Sb4 0.6667 0.3333 0.8899 1
Au1 0.3333 0.6667 0.8397 1
Au2 0.6667 0.3333 0.3397 1
Nd3 0.0000 0.0000 0.7500 1
Au3 0.3333 0.6667 0.6603 1
Au4 0.6667 0.3333 0.1603 1
Nd4 0.0000 0.0000 0.5000 1
```

Summary:
The calculation puts the formation energy without anion corrections at -0.913 eV/atom.



No. 2
DFT (PBE) results for a geometry-optimized La2BeNiC structure.

Geometry as CIF:
```
data_La2BeNiC
_cell_length_a 5.2955
_cell_length_b 5.2955
_cell_length_c 3.4252
_cell_angle_alpha 90.00
_cell_angle_beta 90.00
_cell_angle_gamma 90.00
_space_group_name_H-M_alt 'P 1'
_space_group_IT_number 1
loop_
_space_group_symop_operation_xyz
'x,y,z'
loop_
_atom_site_label
_atom_site_fract_x
_atom_site_fract_y
_atom_site_fract_z
_atom_site_occupancy
Be1 0.0000 0.0000 0.5000 1
La1 0.0000 0.5000 0.0000 1
Ni1 0.5000 0.5000 0.5000 1
C1 0.0000 0.0000 0.0000 1
La2 0.5000 0.0000 0.0000 1
```

Summary:
Its total energy is -5.83 eV/atom.